Here is an optimized crystal structure of Tb2MgNi from Alexandria via LeMat-Bulk. Energies are from GGA-PBE.

Computed properties:
Total magnetization = 0.00 Bohr magnetons per cell
Formation energy from the elements = -0.4 eV/f.u.
E_tot = -4.251 eV/atom

Cell and atoms, written as CIF:
```
data_Tb2MgNi
_cell_length_a 8.582
_cell_length_b 8.582
_cell_length_c 8.582
_cell_angle_alpha 26.27
_cell_angle_beta 26.27
_cell_angle_gamma 26.27
_space_group_name_H-M_alt 'P 1'
_space_group_IT_number 1
loop_
_space_group_symop_operation_xyz
'x,y,z'
loop_
_atom_site_label
_atom_site_type_symbol
_atom_site_fract_x
_atom_site_fract_y
_atom_site_fract_z
_atom_site_occupancy
Tb1 Tb 0.000 0.000 0.000 1
Tb2 Tb 0.213 0.213 0.213 1
Mg1 Mg 0.441 0.441 0.441 1
Ni1 Ni 0.606 0.606 0.606 1
```